VASP calculation (PBE) on a relaxed structure of SmDyYEr.

Cell: 5.041 5.041 10.057 Å, 90.00 90.00 90.00°
Space group I-4m2 (No. 119)
Inequivalent atoms, fractional coordinates:
1 Sm 0.000 0.000 0.000 [2 per cell]
2 Dy 0.000 0.500 0.250 [2 per cell]
3 Y 0.000 0.500 0.750 [2 per cell]
4 Er 0.000 0.000 0.500 [2 per cell]

Values from the calculation:
Volume ... 255.6 Å³ per cell
Polymorph energy (0 for the lowest one) ... 0.0000 eV/atom
ρ ... 7.39 g cm⁻³
Formation energy from the elements ... 21 meV/atom


VASP calculation (PBE) on a relaxed structure of SmDyY6Er2.

Cell: 9.135 14.994 9.567 Å, 90.00 97.50 90.00°
Space group C2/c (No. 15)
Inequivalent atoms, fractional coordinates:
1 Sm 0.000 0.026 0.250 [4 per cell]
2 Dy 0.000 0.409 0.750 [4 per cell]
3 Y 0.063 0.184 0.943 [8 per cell]
4 Y 0.099 0.392 0.117 [8 per cell]
5 Y 0.209 0.225 0.317 [8 per cell]
6 Er 0.249 0.051 0.548 [8 per cell]

Values from the calculation:
Volume ... 1299.3 Å³ per cell
ρ ... 6.04 g cm⁻³
Formation energy from the elements ... 120 meV/atom


VASP calculation (PBE) on a relaxed structure of SmDy2Y4Er2.

Cell: 18.640 3.588 9.533 Å, 90.00 115.75 90.00°
Space group C2/m (No. 12)
Inequivalent atoms, fractional coordinates:
1 Sm 0.000 0.000 0.000 [2 per cell]
2 Dy 0.149 0.000 0.668 [4 per cell]
3 Y 0.019 0.500 0.335 [4 per cell]
4 Y 0.186 0.000 0.334 [4 per cell]
5 Er 0.168 0.500 0.000 [4 per cell]

Values from the calculation:
Volume ... 574.3 Å³ per cell
ρ ... 6.74 g cm⁻³
Formation energy from the elements ... 1 meV/atom


VASP calculation (PBE) on a relaxed structure of Sm2DyYEr5.

Cell: 8.616 8.616 15.412 Å, 90.00 90.00 90.00°
Space group I4/mcm (No. 140)
Inequivalent atoms, fractional coordinates:
1 Sm 0.117 0.383 0.000 [8 per cell]
2 Dy 0.000 0.500 0.250 [4 per cell]
3 Y 0.000 0.000 0.250 [4 per cell]
4 Er 0.000 0.000 0.000 [4 per cell]
5 Er 0.210 0.290 0.362 [16 per cell]

Values from the calculation:
Volume ... 1144.0 Å³ per cell
ρ ... 8.06 g cm⁻³
Formation energy from the elements ... 277 meV/atom


VASP calculation (PBE) on a relaxed structure of SmDyYEr3.

Cell: 18.524 5.713 7.281 Å, 90.00 90.35 90.00°
Space group C2/m (No. 12)
Inequivalent atoms, fractional coordinates:
1 Sm 0.040 0.000 0.251 [4 per cell]
2 Dy 0.148 0.500 0.459 [4 per cell]
3 Y 0.148 0.500 0.038 [4 per cell]
4 Er 0.023 0.500 0.745 [4 per cell]
5 Er 0.170 0.000 0.747 [4 per cell]
6 Er 0.216 0.000 0.250 [4 per cell]

Values from the calculation:
Volume ... 770.6 Å³ per cell
ρ ... 7.79 g cm⁻³
Formation energy from the elements ... 205 meV/atom


VASP calculation (PBE) on a relaxed structure of Sm2Dy2YEr2.

Cell: 11.683 3.514 11.777 Å, 90.00 109.28 90.00°
Space group C2/m (No. 12)
Inequivalent atoms, fractional coordinates:
1 Sm 0.171 0.000 0.085 [4 per cell]
2 Dy 0.051 0.000 0.771 [4 per cell]
3 Y 0.000 0.500 0.500 [2 per cell]
4 Er 0.225 0.500 0.362 [4 per cell]

Values from the calculation:
Volume ... 456.4 Å³ per cell
ρ ... 7.63 g cm⁻³
Formation energy from the elements ... 89 meV/atom


- What is the formula in the second record?
  SmDyY6Er2